No. 1
## YScMo (PBEsol)

Data for a relaxed structure of YScMo.

Lattice parameters (Å, degrees): 4.656 4.656 4.656 60.00 60.00 60.00
Fractional positions:
Mo 0.250 0.250 0.250
Sc 0.000 0.000 0.000
Y 0.500 0.500 0.500

Polymorph energy (0 for the lowest one) = 0.4457 eV/atom
VASP energy = -23.0 eV per cell
Volume = 71.4 Å³ per cell
Formation enthalpy at 0 K = 0.7154 eV per atom

=====

No. 2
## YScZn2Mo (PBEsol)

Data for a relaxed structure of YScZn2Mo.

Lattice parameters (Å, degrees): 4.531 4.932 4.932 90.00 90.00 90.00
Fractional positions:
Y 0.500 0.500 0.500
Sc 0.500 0.000 0.000
Mo 0.000 0.000 0.000
Zn 0.000 0.000 0.500
Zn 0.000 0.500 0.000

VASP energy = -26.3 eV per cell
Volume = 110.2 Å³ per cell
Formation enthalpy at 0 K = 0.4191 eV per atom

=====

What did the second record say?
## YScZn2Mo (PBEsol)

Data for a relaxed structure of YScZn2Mo.

Lattice parameters (Å, degrees): 4.531 4.932 4.932 90.00 90.00 90.00
Fractional positions:
Y 0.500 0.500 0.500
Sc 0.500 0.000 0.000
Mo 0.000 0.000 0.000
Zn 0.000 0.000 0.500
Zn 0.000 0.500 0.000

VASP energy = -26.3 eV per cell
Volume = 110.2 Å³ per cell
Formation enthalpy at 0 K = 0.4191 eV per atom